one:
A plane-wave DFT calculation with PBE was carried out for crystalline ZrCdBr2 at its relaxed geometry.

Summary:
Calculated density in kg/m³: 5916

abc: 7.4173 7.4173 7.4173
angles: 90.00 90.00 90.00
Fractional coordinates of all 16 atoms:
1 Zr 0.0000 0.0000 0.0000
2 Zr 0.0000 0.5000 0.5000
3 Zr 0.5000 0.0000 0.5000
4 Zr 0.5000 0.5000 0.0000
5 Cd 0.2500 0.2500 0.2500
6 Cd 0.2500 0.7500 0.7500
7 Cd 0.7500 0.2500 0.7500
8 Cd 0.7500 0.7500 0.2500
9 Br 0.0000 0.0000 0.5000
10 Br 0.0000 0.5000 0.0000
11 Br 0.2500 0.2500 0.7500
12 Br 0.2500 0.7500 0.2500
13 Br 0.5000 0.0000 0.0000
14 Br 0.5000 0.5000 0.5000
15 Br 0.7500 0.2500 0.2500
16 Br 0.7500 0.7500 0.7500

***

two:
A plane-wave DFT calculation with PBE was carried out for crystalline ZrCdBr2 at its relaxed geometry.

Summary:
Calculated density in kg/m³: 5320

abc: 3.4437 3.4437 33.1406
angles: 90.00 90.00 120.00
Fractional coordinates of all 12 atoms:
1 Zr 0.0000 0.0000 0.0000
2 Zr 0.3333 0.6667 0.6667
3 Zr 0.6667 0.3333 0.3333
4 Cd 0.0000 0.0000 0.5000
5 Cd 0.3333 0.6667 0.1667
6 Cd 0.6667 0.3333 0.8333
7 Br 0.0000 0.0000 0.2746
8 Br 0.0000 0.0000 0.7254
9 Br 0.3333 0.6667 0.3921
10 Br 0.3333 0.6667 0.9413
11 Br 0.6667 0.3333 0.0587
12 Br 0.6667 0.3333 0.6079

***

three:
A plane-wave DFT calculation with PBE was carried out for crystalline ZrCdBr2 at its relaxed geometry.

Summary:
Calculated density in kg/m³: 6136

abc: 5.1587 3.6163 10.5447
angles: 90.00 90.00 90.00
Fractional coordinates of all 8 atoms:
1 Zr 0.0000 0.0000 0.0000
2 Zr 0.0000 0.5000 0.5000
3 Cd 0.5000 0.0000 0.3892
4 Cd 0.5000 0.5000 0.8892
5 Br 0.0000 0.0000 0.7085
6 Br 0.0000 0.5000 0.2085
7 Br 0.5000 0.0000 0.1099
8 Br 0.5000 0.5000 0.6099

***

two (33.6 kJ/mol of atoms below the next structure)